1.
Compound: Ca3HoTh2Bi6
Source: Alexandria
Functional: PBE
Structure: optimized geometry

Structure (POSCAR):
```
Ca3HoTh2Bi6
1.0
7.9637 -0.0008 0.0001
-3.9806 6.8975 0.0001
-1.3290 -2.3011 7.5132
Bi Ca Th Ho
6 3 2 1
direct
0.7537 0.7537 0.2460
0.9192 0.5905 0.7566
0.0808 0.4095 0.2434
0.5905 0.9192 0.7566
0.2463 0.2463 0.7540
0.4095 0.0808 0.2434
0.8309 0.1691 0.5000
0.1691 0.8309 0.5000
0.5000 0.5000 0.5000
0.3339 0.6661 0.0000
0.6661 0.3339 0.0000
0.0000 0.0000 0.0000
```

Properties
Total magnetization: 0.00 μB/cell
Formation energy: -857 kJ/mol of formula units

2.
Compound: Pm6CuNi2Br3
Source: Alexandria
Functional: PBE
Structure: optimized geometry

Structure (POSCAR):
```
Pm6CuNi2Br3
1.0
7.0717 0.0014 -0.0001
-3.5330 6.1260 -0.0001
-1.1802 -2.0436 7.6233
Pm Br Cu Ni
6 3 1 2
direct
0.2800 0.2800 0.8025
0.7200 0.7200 0.1975
0.4122 0.0665 0.1987
0.9335 0.5878 0.8013
0.5878 0.9335 0.8013
0.0665 0.4122 0.1987
0.1652 0.8348 0.5000
0.8348 0.1652 0.5000
0.5000 0.5000 0.5000
0.0000 0.0000 0.0000
0.6670 0.3330 0.0000
0.3330 0.6670 0.0000
```

Properties
Total magnetization: 0.00 μB/cell
Formation energy without anion corrections: -750 meV per atom

3.
Compound: Ce2NdPuN4
Source: Alexandria
Functional: PBE
Structure: optimized geometry

Structure (POSCAR):
```
Ce2NdPuN4
1.0
-0.7497 1.9571 -2.8961
-5.7271 0.9478 2.1231
3.7412 4.4675 2.0505
Pu N Ce Nd
1 4 2 1
direct
0.0000 0.0000 0.0000
0.5000 0.7616 0.7535
0.0000 0.7619 0.2585
0.0000 0.2381 0.7415
0.5000 0.2384 0.2465
0.5000 0.0000 0.5000
0.0000 0.5000 0.5000
0.5000 0.5000 0.0000
```

Properties
Total magnetization: 5.74 μB/cell
Formation energy without anion corrections: -1400 meV per atom

4.
Compound: MgAs2Pd8
Source: Alexandria
Functional: PBE
Structure: optimized geometry

Structure (POSCAR):
```
MgAs2Pd8
1.0
4.4893 -0.1174 -0.1762
-0.9110 6.6317 -0.0563
-0.9110 -2.6061 6.0984
As Pd Mg
2 8 1
direct
0.0000 0.6781 0.3219
0.0000 0.3219 0.6781
0.9077 0.9308 0.6802
0.3256 0.6233 0.6233
0.0923 0.3198 0.0692
0.5000 0.2399 0.7601
0.9077 0.6802 0.9308
0.0923 0.0692 0.3198
0.6744 0.3767 0.3767
0.5000 0.7601 0.2399
0.5000 0.0000 0.0000
```

Properties
Total magnetization: 0.00 μB/cell
Distance to the lowest polymorph of the same formula: 0.009 eV per atom
Formation energy: -421 kJ/mol of formula units